Record 1
Material: Eu2Ga3Ir
Method: DFT, meta-GGA SCAN
State: PBEsol geometry

Summary:
Energy of formation   -0.739 eV per atom
E   -463.99 eV/cell

a = 5.5449 Å, b = 5.5449 Å, c = 8.5948 Å
α = 90.00°, β = 90.00°, γ = 120.00°
Sites, in units of the cell vectors:
Ga: 0.1619 0.8381 0.7500
Ga: 0.6761 0.8381 0.7500
Ga: 0.8381 0.1619 0.2500
Ga: 0.1619 0.3239 0.7500
Ga: 0.3239 0.1619 0.2500
Ga: 0.8381 0.6761 0.2500
Eu: 0.6667 0.3333 0.5539
Eu: 0.3333 0.6667 0.4461
Eu: 0.3333 0.6667 0.0539
Eu: 0.6667 0.3333 0.9461
Ir: 0.0000 0.0000 0.0000
Ir: 0.0000 0.0000 0.5000

Record 2
Material: CuIr4Os
Method: DFT, meta-GGA SCAN
State: PBEsol geometry

Summary:
Energy of formation   0.826 eV per atom
E   -366.52 eV/cell

a = 5.0435 Å, b = 5.0435 Å, c = 5.0435 Å
α = 60.00°, β = 60.00°, γ = 60.00°
Sites, in units of the cell vectors:
Cu: 0.0000 0.0000 0.0000
Ir: 0.3747 0.3747 0.3747
Ir: 0.3747 0.8759 0.3747
Ir: 0.3747 0.3747 0.8759
Ir: 0.8759 0.3747 0.3747
Os: 0.7500 0.7500 0.7500

Record 3
Material: CaAgHg
Method: DFT, meta-GGA SCAN
State: PBEsol geometry

Summary:
Energy of formation   -0.450 eV per atom
E   -110.55 eV/cell

a = 3.4842 Å, b = 4.8010 Å, c = 4.8010 Å
α = 120.00°, β = 90.00°, γ = 90.00°
Sites, in units of the cell vectors:
Ca: 0.0000 0.3333 0.6667
Ag: 0.5000 0.0000 0.0000
Hg: 0.5000 0.6667 0.3333

Record 4
Material: TlW2Cl
Method: DFT, meta-GGA SCAN
State: PBEsol geometry

Summary:
E   -213.28 eV/cell

a = 4.5574 Å, b = 4.5574 Å, c = 4.5574 Å
α = 60.00°, β = 60.00°, γ = 60.00°
Sites, in units of the cell vectors:
Cl: 0.0000 0.0000 0.0000
Tl: 0.5000 0.5000 0.5000
W: 0.7500 0.7500 0.7500
W: 0.2500 0.2500 0.2500

Record 5
Material: TlAgSe
Method: DFT, meta-GGA SCAN
State: PBEsol geometry

Summary:
E   -498.30 eV/cell
Energy above the most stable polymorph in this dataset   0.0000 eV/atom

a = 4.5995 Å, b = 7.4228 Å, c = 8.1538 Å
α = 90.00°, β = 90.00°, γ = 90.00°
Sites, in units of the cell vectors:
Tl: 0.7500 0.1766 0.0103
Tl: 0.2500 0.8234 0.9897
Tl: 0.2500 0.6766 0.4897
Tl: 0.7500 0.3234 0.5103
Se: 0.2500 0.4020 0.8222
Se: 0.2500 0.0980 0.3222
Se: 0.7500 0.5980 0.1778
Se: 0.7500 0.9020 0.6778
Ag: 0.2500 0.4115 0.1740
Ag: 0.7500 0.9115 0.3260
Ag: 0.7500 0.5885 0.8260
Ag: 0.2500 0.0885 0.6740

Record 6
Material: GeTe2Ir
Method: DFT, meta-GGA SCAN
State: PBEsol geometry

Summary:
E   -327.97 eV/cell

a = 6.1318 Å, b = 6.1318 Å, c = 7.4339 Å
α = 114.36°, β = 114.36°, γ = 90.00°
Sites, in units of the cell vectors:
Te: 0.3410 0.8750 0.2500
Te: 0.1250 0.0910 0.7500
Te: 0.9090 0.3750 0.2500
Te: 0.6250 0.6590 0.7500
Ir: 0.0000 0.0000 0.0000
Ir: 0.2500 0.7500 0.5000
Ge: 0.5000 0.5000 0.0000
Ge: 0.7500 0.2500 0.5000

Record 7
Material: In2PRh
Method: DFT, meta-GGA SCAN
State: PBEsol geometry

Summary:
Energy of formation   -0.269 eV per atom
E   -112.02 eV/cell

a = 3.8911 Å, b = 3.9280 Å, c = 5.1456 Å
α = 112.44°, β = 90.00°, γ = 90.00°
Sites, in units of the cell vectors:
Rh: 0.5000 0.6860 0.3720
In: 0.5000 0.4004 0.8008
In: 0.0000 0.1028 0.2055
P: 0.0000 0.8254 0.6508

Record 8
Material: Cs2SiSb
Method: DFT, meta-GGA SCAN
State: PBEsol geometry

Summary:
E   -245.06 eV/cell

a = 5.2211 Å, b = 9.8848 Å, c = 9.8848 Å
α = 86.00°, β = 74.69°, γ = 74.69°
Sites, in units of the cell vectors:
Sb: 0.0000 0.0000 0.0000
Sb: 0.7500 0.5000 0.5000
Cs: 0.8750 0.8162 0.6838
Cs: 0.3750 0.1838 0.3162
Cs: 0.4412 0.6838 0.1838
Cs: 0.3088 0.3162 0.8162
Si: 0.2500 0.5000 0.5000
Si: 0.5000 0.0000 0.0000

Record 9
Material: MgBe
Method: DFT, meta-GGA SCAN
State: PBEsol geometry

Summary:
Energy of formation   0.462 eV per atom
E   -16.81 eV/cell
Energy above the most stable polymorph in this dataset   0.0725 eV/atom

a = 2.8712 Å, b = 2.8712 Å, c = 8.7548 Å
α = 80.56°, β = 80.56°, γ = 60.00°
Sites, in units of the cell vectors:
Be: 0.6363 0.6363 0.0911
Be: 0.3637 0.3637 0.9089
Mg: 0.1140 0.1140 0.6581
Mg: 0.8860 0.8860 0.3419

Record 10
Material: BaCa2Tl
Method: DFT, meta-GGA SCAN
State: PBEsol geometry

Summary:
Energy of formation   -0.303 eV per atom
E   -132.45 eV/cell
Energy above the most stable polymorph in this dataset   0.0220 eV/atom

a = 3.8598 Å, b = 3.8598 Å, c = 10.1668 Å
α = 90.00°, β = 90.00°, γ = 90.00°
Sites, in units of the cell vectors:
Tl: 0.5000 0.5000 0.0000
Ca: 0.0000 0.0000 0.1819
Ca: 0.0000 0.0000 0.8181
Ba: 0.5000 0.5000 0.5000

Record 11
Material: RbTaRu3
Method: DFT, meta-GGA SCAN
State: PBEsol geometry

Summary:
Energy of formation   3.158 eV per atom
E   -176.01 eV/cell
Energy above the most stable polymorph in this dataset   1.7351 eV/atom

a = 4.5221 Å, b = 4.5221 Å, c = 4.5221 Å
α = 90.00°, β = 90.00°, γ = 90.00°
Sites, in units of the cell vectors:
Ru: 0.5000 0.0000 0.0000
Ru: 0.0000 0.0000 0.5000
Ru: 0.0000 0.5000 0.0000
Rb: 0.0000 0.0000 0.0000
Ta: 0.5000 0.5000 0.5000

Record 12
Material: CaGaSbTe2
Method: DFT, meta-GGA SCAN
State: PBEsol geometry

Summary:
E   -136.36 eV/cell

a = 5.6367 Å, b = 5.7270 Å, c = 5.7270 Å
α = 90.00°, β = 90.00°, γ = 90.00°
Sites, in units of the cell vectors:
Ca: 0.0000 0.0000 0.0000
Ga: 0.5000 0.5000 0.5000
Te: 0.0000 0.5000 0.0000
Te: 0.0000 0.0000 0.5000
Sb: 0.5000 0.0000 0.0000

Record 13
Material: CsK2Rb2
Method: DFT, meta-GGA SCAN
State: PBEsol geometry

Summary:
Energy of formation   0.014 eV per atom
E   -191.76 eV/cell
Energy above the most stable polymorph in this dataset   0.0000 eV/atom

a = 5.0109 Å, b = 13.0248 Å, c = 13.0248 Å
α = 90.00°, β = 90.00°, γ = 90.00°
Sites, in units of the cell vectors:
Rb: 0.0000 0.3709 0.8709
Rb: 0.0000 0.6291 0.1291
Rb: 0.0000 0.1291 0.3709
Rb: 0.0000 0.8709 0.6291
K: 0.5000 0.1682 0.6682
K: 0.5000 0.3318 0.1682
K: 0.5000 0.8318 0.3318
K: 0.5000 0.6682 0.8318
Cs: 0.0000 0.5000 0.5000
Cs: 0.0000 0.0000 0.0000

Record 14
Material: Ga2RhWC
Method: DFT, meta-GGA SCAN
State: PBEsol geometry

Summary:
Energy of formation   1.321 eV per atom
E   -139.65 eV/cell

a = 3.9053 Å, b = 4.8435 Å, c = 4.8435 Å
α = 90.00°, β = 90.00°, γ = 90.00°
Sites, in units of the cell vectors:
C: 0.5000 0.0000 0.0000
Rh: 0.5000 0.5000 0.5000
W: 0.0000 0.0000 0.0000
Ga: 0.0000 0.5000 0.0000
Ga: 0.0000 0.0000 0.5000

Record 15
Material: ZnSb2Pt
Method: DFT, meta-GGA SCAN
State: PBEsol geometry

Summary:
E   -158.64 eV/cell

a = 3.2973 Å, b = 3.2973 Å, c = 7.5199 Å
α = 90.00°, β = 90.00°, γ = 90.00°
Sites, in units of the cell vectors:
Pt: 0.5000 0.5000 0.7135
Zn: 0.0000 0.0000 0.5449
Sb: 0.0000 0.0000 0.9291
Sb: 0.5000 0.5000 0.3125

Record 16
Material: IrPtCl2
Method: DFT, meta-GGA SCAN
State: PBEsol geometry

Summary:
E   -157.49 eV/cell
Energy above the most stable polymorph in this dataset   0.0000 eV/atom

a = 3.6790 Å, b = 3.6790 Å, c = 6.9018 Å
α = 74.54°, β = 74.54°, γ = 60.00°
Sites, in units of the cell vectors:
Ir: 0.5013 0.5013 0.4961
Pt: 0.2419 0.2419 0.2742
Cl: 0.9719 0.9719 0.0842
Cl: 0.7848 0.7848 0.6455

Record 17
Material: ScCu2
Method: DFT, meta-GGA SCAN
State: PBEsol geometry

Summary:
Energy of formation   -0.292 eV per atom
E   -45.51 eV/cell

a = 3.2571 Å, b = 3.2346 Å, c = 4.7204 Å
α = 110.04°, β = 110.18°, γ = 90.00°
Sites, in units of the cell vectors:
Cu: 0.8256 0.8256 0.6512
Cu: 0.1744 0.1744 0.3488
Sc: 0.5000 0.5000 0.0000

Record 18
Material: Zn2ReSi
Method: DFT, meta-GGA SCAN
State: PBEsol geometry

Summary:
E   -107.74 eV/cell

a = 3.5566 Å, b = 3.5566 Å, c = 4.9412 Å
α = 111.09°, β = 111.09°, γ = 90.00°
Sites, in units of the cell vectors:
Si: 0.0000 0.0000 0.0000
Re: 0.5000 0.5000 0.0000
Zn: 0.2500 0.7500 0.5000
Zn: 0.7500 0.2500 0.5000

Record 19
Material: Os3SeI
Method: DFT, meta-GGA SCAN
State: PBEsol geometry

Summary:
E   -260.89 eV/cell

a = 4.5786 Å, b = 4.5786 Å, c = 4.5786 Å
α = 90.00°, β = 90.00°, γ = 90.00°
Sites, in units of the cell vectors:
Os: 0.0000 0.0000 0.5000
Os: 0.0000 0.5000 0.0000
Os: 0.5000 0.0000 0.0000
Se: 0.0000 0.0000 0.0000
I: 0.5000 0.5000 0.5000

Record 20
Material: MgFeNi2
Method: DFT, meta-GGA SCAN
State: PBEsol geometry

Summary:
Energy of formation   0.077 eV per atom
E   -55.14 eV/cell

a = 2.9103 Å, b = 2.9103 Å, c = 5.8378 Å
α = 90.00°, β = 90.00°, γ = 90.00°
Sites, in units of the cell vectors:
Fe: 0.0000 0.0000 0.4523
Ni: 0.0000 0.0000 0.0301
Ni: 0.5000 0.5000 0.2578
Mg: 0.5000 0.5000 0.7598